[1]
A relaxed structure of SrBe2Ag, computed with GGA-PBE.

* calculated formation energy: 0.4 eV/f.u.

Geometry as POSCAR:
```
SrBe2Ag
1.0
4.125 0.003 0.018
2.065 3.570 0.018
1.998 1.153 5.536
Sr Ag Be
1 1 2
Direct
0.500 0.500 0.501
0.314 0.314 0.060
0.004 0.004 0.989
0.683 0.683 0.951
```

***

[2]
A relaxed structure of SrBe3Ag, computed with GGA-PBE.

* calculated formation energy: 10.7 eV/f.u.

Geometry as POSCAR:
```
SrBe3Ag
1.0
5.551 0.000 0.000
0.000 5.551 0.000
0.000 0.000 5.551
Sr Ag Be
1 1 3
Direct
0.000 0.000 0.000
0.500 0.500 0.500
0.000 0.500 0.000
0.000 0.000 0.500
0.500 0.000 0.000
```

***

| no. | ΔE to the lowest computed polymorph (eV per atom) | M_tot (μB per formula unit) |
| --- | --- | --- |
| 1 | 0.006 | 0.000 |
| 2 | 1.678 | 0.000 |